Here is crystalline Pr2Si2O7 at its relaxed geometry from OQMD. Energies are from PBE-GGA.

Structure (POSCAR):
```
Pr2Si2O7
1.0
4.478 -0.141 0.021
-0.860 6.433 0.563
-0.014 0.884 11.953
O Pr Si
14 4 4
Direct
0.893 0.912 0.022
0.421 0.578 0.082
0.778 0.162 0.172
0.048 0.413 0.328
0.179 0.809 0.329
0.277 0.964 0.410
0.564 0.552 0.443
0.116 0.570 0.541
0.736 0.066 0.548
0.279 0.227 0.639
0.551 0.657 0.675
0.690 0.021 0.767
0.087 0.709 0.837
0.797 0.343 0.963
0.939 0.559 0.132
0.800 0.055 0.365
0.097 0.849 0.659
0.570 0.680 0.886
0.815 0.129 0.043
0.207 0.570 0.410
0.469 0.478 0.594
0.688 0.196 0.655
```

Properties
Crystal system ... triclinic
Size of the total moment ... 0.002 Bohr magnetons per cell
Mass density ... 4.388 g/cm3
Uncorrected energy ... -7.536 eV/atom